Record 1
A relaxed DyY3N crystal, computed with PBE-GGA.

Magnetic moment, Bohr magnetons per cell: 4.7
SG: No. 31
ΔE_f (raw), eV per atom: -0.565
Raw total energy, eV for the cell shown: -70.29
Energy relative to the lowest polymorph listed for this composition, kJ/mol of atoms: 0.00

Cell lengths 7.128, 6.263, 5.797 Å; angles 90.00, 90.00, 90.00 degrees
Sites, in units of the cell vectors:
Dy (0.000, 0.186, 0.000)
Dy (0.500, 0.814, 0.500)
Y (0.000, 0.817, 0.464)
Y (0.250, 0.353, 0.481)
Y (0.250, 0.647, 0.981)
Y (0.500, 0.183, 0.964)
Y (0.750, 0.353, 0.481)
Y (0.750, 0.647, 0.981)
N (0.000, 0.499, 0.230)
N (0.500, 0.501, 0.730)

Record 2
A relaxed DyYN crystal, computed with PBE-GGA.

Magnetic moment, Bohr magnetons per cell: 0.0
SG: No. 216
ΔE_f (raw), eV per atom: -0.329
Raw total energy, eV for the cell shown: -20.38
Energy relative to the lowest polymorph listed for this composition, kJ/mol of atoms: 68.93

Cell lengths 4.247, 4.247, 4.247 Å; angles 60.00, 60.00, 60.00 degrees
Sites, in units of the cell vectors:
Dy (0.000, 0.000, 0.000)
Y (0.500, 0.500, 0.500)
N (0.250, 0.250, 0.250)

Record 3
A relaxed Dy2YN2 crystal, computed with PBE-GGA.

Magnetic moment, Bohr magnetons per cell: 0.0
SG: No. 12
ΔE_f (raw), eV per atom: -1.321
Raw total energy, eV for the cell shown: -77.85

Cell lengths 6.093, 6.093, 7.064 Å; angles 107.87, 107.87, 47.90 degrees
Sites, in units of the cell vectors:
Dy (0.007, 0.007, 0.234)
Dy (0.337, 0.337, 0.927)
Dy (0.663, 0.663, 0.073)
Dy (0.993, 0.993, 0.766)
Y (0.343, 0.343, 0.408)
Y (0.657, 0.657, 0.592)
N (0.165, 0.165, 0.083)
N (0.499, 0.499, 0.250)
N (0.501, 0.501, 0.750)
N (0.835, 0.835, 0.917)

Record 4
A relaxed DyYN crystal, computed with PBE-GGA.

Magnetic moment, Bohr magnetons per cell: 0.0
SG: No. 62
ΔE_f (raw), eV per atom: -0.746
Raw total energy, eV for the cell shown: -86.52
Energy relative to the lowest polymorph listed for this composition, kJ/mol of atoms: 28.69

Cell lengths 12.077, 3.426, 6.109 Å; angles 90.00, 90.00, 90.00 degrees
Sites, in units of the cell vectors:
Dy (0.131, 0.250, 0.119)
Dy (0.369, 0.750, 0.619)
Dy (0.631, 0.250, 0.381)
Dy (0.869, 0.750, 0.881)
Y (0.136, 0.250, 0.603)
Y (0.364, 0.750, 0.103)
Y (0.636, 0.250, 0.897)
Y (0.864, 0.750, 0.397)
N (0.215, 0.750, 0.358)
N (0.285, 0.250, 0.858)
N (0.715, 0.750, 0.142)
N (0.785, 0.250, 0.642)

Record 5
A relaxed Dy4YN4 crystal, computed with PBE-GGA.

Magnetic moment, Bohr magnetons per cell: 0.0
SG: No. 87
ΔE_f (raw), eV per atom: -1.506
Raw total energy, eV for the cell shown: -71.73

Cell lengths 6.052, 6.052, 6.052 Å; angles 99.51, 99.51, 132.03 degrees
Sites, in units of the cell vectors:
Dy (0.109, 0.688, 0.797)
Dy (0.312, 0.109, 0.422)
Dy (0.688, 0.891, 0.578)
Dy (0.891, 0.312, 0.203)
Y (0.500, 0.500, 0.000)
N (0.202, 0.402, 0.603)
N (0.402, 0.798, 0.200)
N (0.598, 0.202, 0.800)
N (0.798, 0.598, 0.397)

Record 6
A relaxed Dy2YZrN4 crystal, computed with PBE-GGA.

Magnetic moment, Bohr magnetons per cell: 0.0
SG: No. 10
ΔE_f (raw), eV per atom: -1.724
Raw total energy, eV for the cell shown: -71.31

Cell lengths 5.906, 3.405, 5.906 Å; angles 90.00, 109.27, 90.00 degrees
Sites, in units of the cell vectors:
Dy (0.000, 0.000, 0.000)
Dy (0.500, 0.500, 0.000)
Y (0.000, 0.500, 0.500)
Zr (0.500, 0.000, 0.500)
N (0.258, 0.000, 0.743)
N (0.263, 0.500, 0.262)
N (0.737, 0.500, 0.738)
N (0.742, 0.000, 0.257)

Record 7
A relaxed DyY3Zr2N6 crystal, computed with PBE-GGA.

Magnetic moment, Bohr magnetons per cell: 0.0
SG: No. 12
ΔE_f (raw), eV per atom: -1.715
Raw total energy, eV for the cell shown: -111.62

Cell lengths 7.588, 7.588, 6.806 Å; angles 103.14, 103.14, 25.80 degrees
Sites, in units of the cell vectors:
Dy (0.000, 0.000, 0.000)
Y (0.000, 0.000, 0.500)
Y (0.333, 0.333, 0.167)
Y (0.667, 0.667, 0.833)
Zr (0.333, 0.333, 0.665)
Zr (0.667, 0.667, 0.335)
N (0.168, 0.168, 0.098)
N (0.171, 0.171, 0.574)
N (0.493, 0.493, 0.746)
N (0.507, 0.507, 0.254)
N (0.829, 0.829, 0.426)
N (0.832, 0.832, 0.902)

Record 8
A relaxed DyZnN crystal, computed with PBE-GGA.

Magnetic moment, Bohr magnetons per cell: 0.0
SG: No. 139
ΔE_f (raw), eV per atom: -0.845
Raw total energy, eV for the cell shown: -33.47

Cell lengths 9.012, 9.012, 9.012 Å; angles 157.80, 157.80, 31.59 degrees
Sites, in units of the cell vectors:
Dy (0.182, 0.182, 0.000)
Dy (0.818, 0.818, 0.000)
Zn (0.433, 0.433, 0.000)
Zn (0.567, 0.567, 0.000)
N (0.315, 0.315, 0.000)
N (0.685, 0.685, 0.000)

Record 9
A relaxed Dy2ZnN crystal, computed with PBE-GGA.

Magnetic moment, Bohr magnetons per cell: 0.0
SG: No. 166
ΔE_f (raw), eV per atom: -0.883
Raw total energy, eV for the cell shown: -22.34

Cell lengths 7.704, 7.704, 7.704 Å; angles 26.26, 26.26, 26.26 degrees
Sites, in units of the cell vectors:
Dy (0.228, 0.228, 0.228)
Dy (0.772, 0.772, 0.772)
Zn (0.000, 0.000, 0.000)
N (0.500, 0.500, 0.500)

Record 10
A relaxed Dy4Zn2N crystal, computed with PBE-GGA.

Magnetic moment, Bohr magnetons per cell: 0.0
SG: No. 139
ΔE_f (raw), eV per atom: -0.592
Raw total energy, eV for the cell shown: -33.42

Cell lengths 7.822, 7.822, 7.822 Å; angles 144.46, 144.46, 51.14 degrees
Sites, in units of the cell vectors:
Dy (0.000, 0.500, 0.500)
Dy (0.173, 0.173, 0.000)
Dy (0.500, 0.000, 0.500)
Dy (0.827, 0.827, 0.000)
Zn (0.375, 0.375, 0.000)
Zn (0.625, 0.625, 0.000)
N (0.000, 0.000, 0.000)

Record 11
A relaxed Dy3ZrN crystal, computed with PBE-GGA.

Magnetic moment, Bohr magnetons per cell: 0.6
SG: No. 221
ΔE_f (raw), eV per atom: -0.493
Raw total energy, eV for the cell shown: -33.14

Cell lengths 4.862, 4.862, 4.862 Å; angles 90.00, 90.00, 90.00 degrees
Sites, in units of the cell vectors:
Dy (0.000, 0.000, 0.500)
Dy (0.000, 0.500, 0.000)
Dy (0.500, 0.000, 0.000)
Zr (0.500, 0.500, 0.500)
N (0.000, 0.000, 0.000)

Record 12
A relaxed Dy2ZrN crystal, computed with PBE-GGA.

Magnetic moment, Bohr magnetons per cell: 0.0
SG: No. 166
ΔE_f (raw), eV per atom: -0.554
Raw total energy, eV for the cell shown: -28.29

Cell lengths 9.372, 9.372, 9.372 Å; angles 20.56, 20.56, 20.56 degrees
Sites, in units of the cell vectors:
Dy (0.117, 0.117, 0.117)
Dy (0.883, 0.883, 0.883)
Zr (0.000, 0.000, 0.000)
N (0.500, 0.500, 0.500)

Record 13
A relaxed DyZr3N3 crystal, computed with PBE-GGA.

Magnetic moment, Bohr magnetons per cell: 0.0
SG: No. 214
ΔE_f (raw), eV per atom: -1.472
Raw total energy, eV for the cell shown: -262.10

Cell lengths 8.142, 8.142, 8.142 Å; angles 109.47, 109.47, 109.47 degrees
Sites, in units of the cell vectors:
Dy (0.000, 0.250, 0.500)
Dy (0.250, 0.250, 0.250)
Dy (0.250, 0.500, 0.000)
Dy (0.500, 0.000, 0.250)
Zr (0.008, 0.016, 0.758)
Zr (0.008, 0.492, 0.250)
Zr (0.016, 0.758, 0.008)
Zr (0.250, 0.008, 0.492)
Zr (0.250, 0.742, 0.758)
Zr (0.484, 0.492, 0.742)
Zr (0.492, 0.250, 0.008)
Zr (0.492, 0.742, 0.484)
Zr (0.742, 0.484, 0.492)
Zr (0.742, 0.758, 0.250)
Zr (0.758, 0.008, 0.016)
Zr (0.758, 0.250, 0.742)
N (0.243, 0.750, 0.257)
N (0.243, 0.993, 0.986)
N (0.257, 0.243, 0.750)
N (0.257, 0.514, 0.507)
N (0.507, 0.257, 0.514)
N (0.507, 0.750, 0.993)
N (0.514, 0.507, 0.257)
N (0.750, 0.257, 0.243)
N (0.750, 0.993, 0.507)
N (0.986, 0.243, 0.993)
N (0.993, 0.507, 0.750)
N (0.993, 0.986, 0.243)

Record 14
A relaxed Dy4ZrN5 crystal, computed with PBE-GGA.

Magnetic moment, Bohr magnetons per cell: 0.0
SG: No. 79
ΔE_f (raw), eV per atom: -1.724
Raw total energy, eV for the cell shown: -85.82

Cell lengths 5.924, 5.924, 5.924 Å; angles 99.62, 99.62, 131.73 degrees
Sites, in units of the cell vectors:
Dy (0.100, 0.299, 0.400)
Dy (0.299, 0.900, 0.199)
Dy (0.701, 0.100, 0.801)
Dy (0.900, 0.701, 0.600)
Zr (0.501, 0.501, 0.000)
N (0.212, 0.596, 0.808)
N (0.404, 0.212, 0.616)
N (0.596, 0.788, 0.384)
N (0.788, 0.404, 0.192)
N (0.999, 0.999, 0.000)

Record 15
A relaxed DyZr2N4 crystal, computed with PBE-GGA.

Magnetic moment, Bohr magnetons per cell: 0.6
SG: No. 12
ΔE_f (raw), eV per atom: -1.215
Raw total energy, eV for the cell shown: -63.51

Cell lengths 6.333, 6.333, 5.535 Å; angles 114.17, 114.17, 30.65 degrees
Sites, in units of the cell vectors:
Dy (0.000, 0.000, 0.000)
Zr (0.288, 0.288, 0.292)
Zr (0.712, 0.712, 0.708)
N (0.142, 0.142, 0.453)
N (0.356, 0.356, 0.993)
N (0.644, 0.644, 0.007)
N (0.858, 0.858, 0.547)

Record 16
A relaxed DyZr2N3 crystal, computed with PBE-GGA.

Magnetic moment, Bohr magnetons per cell: 0.0
SG: No. 139
ΔE_f (raw), eV per atom: -1.685
Raw total energy, eV for the cell shown: -56.78

Cell lengths 7.432, 7.432, 7.432 Å; angles 154.13, 154.13, 36.91 degrees
Sites, in units of the cell vectors:
Dy (0.000, 0.000, 0.000)
Zr (0.332, 0.332, 0.000)
Zr (0.668, 0.668, 0.000)
N (0.170, 0.170, 0.000)
N (0.500, 0.500, 0.000)
N (0.830, 0.830, 0.000)

Record 17
A relaxed DyZr3N4 crystal, computed with PBE-GGA.

Magnetic moment, Bohr magnetons per cell: 0.0
SG: No. 65
ΔE_f (raw), eV per atom: -1.698
Raw total energy, eV for the cell shown: -77.13
Energy relative to the lowest polymorph listed for this composition, kJ/mol of atoms: 0.00

Cell lengths 5.734, 5.734, 3.298 Å; angles 90.00, 90.00, 109.21 degrees
Sites, in units of the cell vectors:
Dy (0.000, 0.000, 0.000)
Zr (0.000, 0.500, 0.500)
Zr (0.500, 0.000, 0.500)
Zr (0.500, 0.500, 0.000)
N (0.255, 0.745, 0.000)
N (0.260, 0.260, 0.500)
N (0.740, 0.740, 0.500)
N (0.745, 0.255, 0.000)

Record 18
A relaxed DyZr5N4 crystal, computed with PBE-GGA.

Magnetic moment, Bohr magnetons per cell: 0.0
SG: No. 12
ΔE_f (raw), eV per atom: -1.360
Raw total energy, eV for the cell shown: -94.24

Cell lengths 7.289, 7.289, 6.700 Å; angles 104.05, 104.05, 26.44 degrees
Sites, in units of the cell vectors:
Dy (0.000, 0.000, 0.000)
Zr (0.000, 0.000, 0.500)
Zr (0.330, 0.330, 0.682)
Zr (0.336, 0.336, 0.152)
Zr (0.664, 0.664, 0.848)
Zr (0.670, 0.670, 0.318)
N (0.171, 0.171, 0.088)
N (0.495, 0.495, 0.735)
N (0.505, 0.505, 0.265)
N (0.829, 0.829, 0.912)

Record 19
A relaxed DyZrN2 crystal, computed with PBE-GGA.

Magnetic moment, Bohr magnetons per cell: 0.0
SG: No. 160
ΔE_f (raw), eV per atom: -1.469
Raw total energy, eV for the cell shown: -35.68

Cell lengths 6.092, 6.092, 6.092 Å; angles 31.40, 31.40, 31.40 degrees
Sites, in units of the cell vectors:
Dy (0.000, 0.000, 0.000)
Zr (0.826, 0.826, 0.826)
N (0.413, 0.413, 0.413)
N (0.573, 0.573, 0.573)

Record 20
A relaxed Dy3Zr2N4 crystal, computed with PBE-GGA.

Magnetic moment, Bohr magnetons per cell: 0.0
SG: No. 12
ΔE_f (raw), eV per atom: -1.529
Raw total energy, eV for the cell shown: -77.97

Cell lengths 5.968, 5.968, 8.416 Å; angles 120.80, 120.80, 33.36 degrees
Sites, in units of the cell vectors:
Dy (0.000, 0.000, 0.000)
Dy (0.195, 0.195, 0.795)
Dy (0.805, 0.805, 0.205)
Zr (0.388, 0.388, 0.614)
Zr (0.612, 0.612, 0.386)
N (0.203, 0.203, 0.312)
N (0.406, 0.406, 0.109)
N (0.594, 0.594, 0.891)
N (0.797, 0.797, 0.688)